No. 1
PBE Ca2Al4Pd3Au, relaxed; calculated formation energy = -0.74 eV/atom; symmetry = P-4m2, No. 115; E_tot = -4.5234 eV per atom
1.0
4.439 0.000 0.000
0.000 4.439 0.000
0.000 0.000 9.973
Ca Al Pd Au
2 4 3 1
Direct
0.500 0.000 0.254
0.000 0.500 0.746
0.500 0.500 0.000
0.000 0.000 0.000
0.500 0.000 0.627
0.000 0.500 0.373
0.000 0.000 0.500
0.500 0.000 0.875
0.000 0.500 0.125
0.500 0.500 0.500

No. 2
PBE MnIr2W, relaxed; calculated formation energy = 0.09 eV/atom; energy above the most stable polymorph in this dataset = 350 meV per atom; symmetry = P4mm, No. 99; E_tot = -9.8739 eV per atom
1.0
-1.111 -2.785 1.221
0.855 -1.534 -2.721
5.018 -1.051 2.170
Ir Mn W
2 1 1
Direct
0.000 0.000 0.994
0.500 0.500 0.283
0.000 0.000 0.479
0.500 0.500 0.745